A geometry-optimized Er4TmRh5 structure. Source: the Alexandria database, functional PBE.

Cell: 3.352 3.352 17.354 Å, 90.00 90.00 90.00°
Fractional coordinates of all 10 atoms:
Er  0.000  0.000  0.800
Rh  0.500  0.500  0.099
Er  0.000  0.000  0.400
Rh  0.500  0.500  0.700
Rh  0.500  0.500  0.300
Rh  0.500  0.500  0.901
Tm  0.000  0.000  0.000
Er  0.000  0.000  0.200
Er  0.000  0.000  0.600
Rh  0.500  0.500  0.500

Results
Raw total energy: -68.86 eV per formula unit
DOS(E_F): 5.41 states/eV/f.u.
Space-group type: No. 123
ΔE_f: -0.9384 eV/atom